(1)
Computed, not measured: a relaxed Ca3YZn crystal at the PBE level of DFT.

Output
- ΔE to the lowest computed polymorph (meV/atom) = 0

a b c (Å): 5.708 5.708 5.708
angles (deg): 90.00 90.00 90.00
Element x y z (fractional)
Ca1 0.000 0.000 0.500
Ca2 0.000 0.500 0.000
Ca3 0.500 0.000 0.000
Y1 0.500 0.500 0.500
Zn1 0.000 0.000 0.000



(2)
Computed, not measured: a relaxed EuGdGePd crystal at the PBE level of DFT.

Output
- E (eV per atom) = -9.229

a b c (Å): 5.124 5.124 5.124
angles (deg): 60.00 60.00 60.00
Element x y z (fractional)
Eu1 0.000 0.000 0.000
Gd1 0.500 0.500 0.500
Ge1 0.250 0.250 0.250
Pd1 0.750 0.750 0.750



(3)
Computed, not measured: a relaxed PrGePd2 crystal at the PBE level of DFT.

Output
- E (eV per atom) = -5.799

a b c (Å): 7.699 7.103 5.780
angles (deg): 90.00 90.00 90.00
Element x y z (fractional)
Pr1 0.032 0.250 0.148
Pr2 0.468 0.750 0.648
Pr3 0.532 0.250 0.352
Pr4 0.968 0.750 0.852
Ge1 0.122 0.750 0.351
Ge2 0.378 0.250 0.851
Ge3 0.622 0.750 0.149
Ge4 0.878 0.250 0.649
Pd1 0.177 0.053 0.589
Pd2 0.177 0.447 0.589
Pd3 0.323 0.553 0.089
Pd4 0.323 0.947 0.089
Pd5 0.677 0.053 0.911
Pd6 0.677 0.447 0.911
Pd7 0.823 0.553 0.411
Pd8 0.823 0.947 0.411



(4)
Computed, not measured: a relaxed NaDyEr2Tl4 crystal at the PBE level of DFT.

Output
- E (eV per atom) = -3.337

a b c (Å): 9.308 9.308 9.308
angles (deg): 33.12 33.12 33.12
Element x y z (fractional)
Na1 0.000 0.000 0.000
Dy1 0.500 0.500 0.500
Er1 0.253 0.253 0.253
Er2 0.747 0.747 0.747
Tl1 0.124 0.124 0.124
Tl2 0.374 0.374 0.374
Tl3 0.626 0.626 0.626
Tl4 0.876 0.876 0.876